## Sm8Se4S3N (PBE)

Data for a relaxed Sm8Se4S3N crystal.

Properties
- total magnetization (μB per formula unit) = 0.00
- mass density (kg/m³) = 7197
- SG = R-3m (166)
- formation energy without anion corrections (meV/atom) = -1850.1

a b c (Å): 8.039 8.164 8.039
angles (deg): 119.50 120.00 90.00
Fractional positions:
Sm 0.225 0.714 0.989
Sm 0.225 0.714 0.450
Sm 0.257 0.271 0.514
Sm 0.765 0.714 0.989
Sm 0.235 0.286 0.011
Sm 0.743 0.729 0.486
Sm 0.775 0.286 0.550
Sm 0.775 0.286 0.011
Se 0.500 0.000 0.000
Se 0.500 0.000 0.500
Se 0.000 0.000 0.000
Se 0.000 0.000 0.500
S 0.500 0.500 0.000
S 0.500 0.500 0.500
S 0.000 0.500 0.500
N 0.000 0.500 0.000


## EuDy5 (PBE)

Data for a relaxed EuDy5 crystal.

Properties
- total magnetization (μB per formula unit) = 7.15
- mass density (kg/m³) = 8203
- formation enthalpy at 0 K (eV/f.u.) = 0.35
- SG = Cmmm (65)

a b c (Å): 5.061 5.076 8.013
angles (deg): 108.46 90.00 90.00
Fractional positions:
Eu 0.000 0.000 0.000
Dy 0.000 0.671 0.341
Dy 0.000 0.329 0.659
Dy 0.500 0.500 0.000
Dy 0.500 0.170 0.341
Dy 0.500 0.830 0.659


## CdIn8Hg4 (PBE)

Data for a relaxed CdIn8Hg4 crystal.

Properties
- total magnetization (μB per formula unit) = 0.00
- mass density (kg/m³) = 8261
- formation enthalpy at 0 K (eV/f.u.) = 0.68
- SG = P-1 (2)

a b c (Å): 9.795 10.150 7.010
angles (deg): 90.06 133.59 119.62
Fractional positions:
Cd 0.000 0.500 0.500
In 0.519 0.759 0.275
In 0.481 0.241 0.725
In 0.495 0.245 0.256
In 0.987 0.237 0.740
In 0.505 0.755 0.744
In 0.992 0.753 0.745
In 0.008 0.247 0.255
In 0.013 0.763 0.260
Hg 0.000 0.000 0.000
Hg 0.000 0.500 0.000
Hg 0.500 0.500 0.000
Hg 0.500 0.000 0.000


## Lu2ThBi (PBE)

Data for a relaxed Lu2ThBi crystal.

Properties
- total magnetization (μB per formula unit) = 0.00
- mass density (kg/m³) = 11402
- formation enthalpy at 0 K (eV/f.u.) = -1.18
- SG = P4/mmm (123)
- E above lowest polymorph (meV per atom) = 0

a b c (Å): 3.931 3.931 7.454
angles (deg): 90.00 90.00 90.00
Fractional positions:
Lu 0.000 0.000 0.774
Lu 0.000 0.000 0.226
Bi 0.500 0.500 0.000
Th 0.500 0.500 0.500


## CaTeP3 (PBE)

Data for a relaxed CaTeP3 crystal.

Properties
- total magnetization (μB per formula unit) = 0.00
- mass density (kg/m³) = 3095
- SG = Pm-3m (221)
- E above lowest polymorph (meV per atom) = 636
- formation energy without anion corrections (meV/atom) = 1141.5

a b c (Å): 5.190 5.190 5.190
angles (deg): 90.00 90.00 90.00
Fractional positions:
P 0.000 0.500 0.000
P 0.000 0.000 0.500
P 0.500 0.000 0.000
Ca 0.000 0.000 0.000
Te 0.500 0.500 0.500


## TaIn2Pd9 (PBE)

Data for a relaxed TaIn2Pd9 crystal.

Properties
- total magnetization (μB per formula unit) = 0.00
- mass density (kg/m³) = 11717
- formation enthalpy at 0 K (eV/f.u.) = -6.01
- SG = P4/mmm (123)

a b c (Å): 4.004 4.004 12.098
angles (deg): 90.00 90.00 90.00
Fractional positions:
Ta 0.000 0.000 0.000
In 0.000 0.000 0.334
In 0.000 0.000 0.666
Pd 0.500 0.500 0.000
Pd 0.500 0.500 0.329
Pd 0.500 0.500 0.671
Pd 0.500 0.000 0.157
Pd 0.500 0.000 0.500
Pd 0.500 0.000 0.843
Pd 0.000 0.500 0.157
Pd 0.000 0.500 0.500
Pd 0.000 0.500 0.843


## Tb8CeEr6 (PBE)

Data for a relaxed Tb8CeEr6 crystal.

Properties
- total magnetization (μB per formula unit) = 1.15
- mass density (kg/m³) = 8425
- formation enthalpy at 0 K (eV/f.u.) = 1.98
- SG = R-3 (148)
- E above lowest polymorph (meV per atom) = 0

a b c (Å): 8.579 8.579 8.579
angles (deg): 62.98 62.98 62.98
Fractional positions:
Tb 0.113 0.717 0.753
Tb 0.247 0.887 0.283
Tb 0.283 0.247 0.887
Tb 0.577 0.577 0.577
Tb 0.423 0.423 0.423
Tb 0.717 0.753 0.113
Tb 0.753 0.113 0.717
Tb 0.887 0.283 0.247
Ce 0.000 0.000 0.000
Er 0.897 0.461 0.764
Er 0.236 0.103 0.539
Er 0.539 0.236 0.103
Er 0.461 0.764 0.897
Er 0.764 0.897 0.461
Er 0.103 0.539 0.236


## BaTi2Rh2 (PBE)

Data for a relaxed BaTi2Rh2 crystal.

Properties
- total magnetization (μB per formula unit) = 0.00
- mass density (kg/m³) = 6575
- formation enthalpy at 0 K (eV/f.u.) = -2.15
- SG = I4/mmm (139)

a b c (Å): 4.309 4.309 6.702
angles (deg): 71.25 71.25 90.00
Fractional positions:
Rh 0.363 0.363 0.274
Rh 0.637 0.637 0.726
Ba 0.000 0.000 0.000
Ti 0.750 0.250 0.500
Ti 0.250 0.750 0.500


## OsWCl2 (PBE)

Data for a relaxed OsWCl2 crystal.

Properties
- total magnetization (μB per formula unit) = 0.91
- mass density (kg/m³) = 11398
- SG = I4/mmm (139)
- E above lowest polymorph (meV per atom) = 1679
- formation energy without anion corrections (meV/atom) = 1557.2

a b c (Å): 5.009 5.009 5.009
angles (deg): 133.58 133.58 67.74
Fractional positions:
Os 0.250 0.750 0.500
W 0.750 0.250 0.500
Cl 0.000 0.000 0.000
Cl 0.500 0.500 0.000


## Ir2Rh6W (PBE)

Data for a relaxed Ir2Rh6W crystal.

Properties
- total magnetization (μB per formula unit) = 0.00
- mass density (kg/m³) = 14744
- formation enthalpy at 0 K (eV/f.u.) = 0.78
- SG = Immm (71)

a b c (Å): 2.697 13.388 7.766
angles (deg): 149.54 100.00 90.00
Fractional positions:
Ir 0.180 0.180 0.361
Ir 0.820 0.820 0.639
Rh 0.326 0.497 0.651
Rh 0.674 0.503 0.349
Rh 0.674 0.846 0.349
Rh 0.500 0.148 0.000
Rh 0.500 0.852 0.000
Rh 0.326 0.154 0.651
W 0.000 0.500 0.000


## HoPu2Ga6 (PBE)

Data for a relaxed HoPu2Ga6 crystal.

Properties
- total magnetization (μB per formula unit) = 11.37
- mass density (kg/m³) = 9695
- formation enthalpy at 0 K (eV/f.u.) = -4.06
- SG = P6/mmm (191)
- E above lowest polymorph (meV per atom) = 0

a b c (Å): 3.470 7.814 7.814
angles (deg): 120.00 90.00 90.00
Fractional positions:
Ho 0.000 0.000 0.000
Pu 0.000 0.333 0.667
Pu 0.000 0.667 0.333
Ga 0.500 0.332 0.332
Ga 0.500 0.668 0.668
Ga 0.500 0.000 0.668
Ga 0.500 0.668 0.000
Ga 0.500 0.332 0.000
Ga 0.500 0.000 0.332


## LaTbCoCu (PBE)

Data for a relaxed LaTbCoCu crystal.

Properties
- total magnetization (μB per formula unit) = 0.00
- mass density (kg/m³) = 7898
- formation enthalpy at 0 K (eV/f.u.) = -0.62
- SG = Amm2 (38)
- E above lowest polymorph (meV per atom) = 0

a b c (Å): 3.863 4.267 5.698
angles (deg): 90.00 109.82 90.00
Fractional positions:
La 0.862 0.500 0.724
Tb 0.136 0.000 0.271
Co 0.431 0.000 0.861
Cu 0.572 0.500 0.143


## IrAu2Cl (PBE)

Data for a relaxed IrAu2Cl crystal.

Properties
- total magnetization (μB per formula unit) = 1.06
- mass density (kg/m³) = 14060
- SG = P4mm (99)
- E above lowest polymorph (meV per atom) = 208
- formation energy without anion corrections (meV/atom) = 556.2

a b c (Å): 2.932 2.932 8.540
angles (deg): 90.00 90.00 90.00
Fractional positions:
Ir 0.500 0.500 0.750
Au 0.000 0.000 0.979
Au 0.500 0.500 0.221
Cl 0.000 0.000 0.550


## Sr2TiSbP (PBE)

Data for a relaxed Sr2TiSbP crystal.

Properties
- total magnetization (μB per formula unit) = 2.33
- mass density (kg/m³) = 3588
- SG = P4/mmm (123)
- formation energy without anion corrections (meV/atom) = 24.9

a b c (Å): 6.188 4.543 6.188
angles (deg): 90.00 90.00 90.00
Fractional positions:
Sb 0.500 0.500 0.500
Ti 0.000 0.000 0.000
P 0.000 0.500 0.000
Sr 0.000 0.000 0.500
Sr 0.500 0.000 0.000


## SrRh4Pb12 (PBE)

Data for a relaxed SrRh4Pb12 crystal.

Properties
- total magnetization (μB per formula unit) = 0.00
- mass density (kg/m³) = 10390
- formation enthalpy at 0 K (eV/f.u.) = -0.93
- SG = Im-3 (204)

a b c (Å): 8.526 8.526 8.526
angles (deg): 109.47 109.47 109.47
Fractional positions:
Sr 0.000 0.000 0.000
Rh 0.000 0.500 0.000
Rh 0.500 0.000 0.000
Rh 0.500 0.500 0.500
Rh 0.000 0.000 0.500
Pb 0.834 0.336 0.169
Pb 0.336 0.502 0.166
Pb 0.831 0.166 0.664
Pb 0.336 0.169 0.834
Pb 0.169 0.834 0.336
Pb 0.664 0.498 0.834
Pb 0.502 0.166 0.336
Pb 0.498 0.834 0.664
Pb 0.664 0.831 0.166
Pb 0.834 0.664 0.498
Pb 0.166 0.336 0.502
Pb 0.166 0.664 0.831


## NbHgS2 (PBE)

Data for a relaxed NbHgS2 crystal.

Properties
- total magnetization (μB per formula unit) = 0.00
- mass density (kg/m³) = 6484
- SG = P1 (1)
- formation energy without anion corrections (meV/atom) = -784.9

a b c (Å): 3.334 3.343 10.068
angles (deg): 99.53 99.92 119.90
Fractional positions:
S 0.686 0.143 0.542
S 0.346 0.810 0.211
Nb 0.183 0.310 0.377
Hg 0.030 0.488 0.876


## CsPmNdI6 (PBE)

Data for a relaxed CsPmNdI6 crystal.

Properties
- total magnetization (μB per formula unit) = 1.07
- mass density (kg/m³) = 3689
- SG = Imma (74)
- formation energy without anion corrections (meV/atom) = -1283.5

a b c (Å): 11.213 11.606 11.496
angles (deg): 120.32 119.19 90.00
Fractional positions:
Cs 0.921 0.671 0.842
Cs 0.079 0.329 0.158
Pm 0.500 0.500 0.000
Pm 0.500 0.000 0.000
Nd 0.500 0.000 0.500
Nd 0.000 0.000 0.500
I 0.433 0.683 0.865
I 0.840 0.090 0.681
I 0.832 0.083 0.252
I 0.420 0.669 0.252
I 0.420 0.083 0.252
I 0.832 0.669 0.252
I 0.567 0.317 0.135
I 0.160 0.910 0.319
I 0.168 0.917 0.748
I 0.580 0.331 0.748
I 0.580 0.917 0.748
I 0.168 0.331 0.748


## HfRe2HgS (PBE)

Data for a relaxed HfRe2HgS crystal.

Properties
- total magnetization (μB per formula unit) = 3.48
- mass density (kg/m³) = 10005
- SG = P4/mmm (123)
- formation energy without anion corrections (meV/atom) = 2282.8

a b c (Å): 4.929 5.353 4.929
angles (deg): 90.00 90.00 90.00
Fractional positions:
Re 0.000 0.000 0.500
Re 0.500 0.000 0.000
S 0.500 0.500 0.500
Hf 0.000 0.000 0.000
Hg 0.000 0.500 0.000


## DyEr6Tl5 (PBE)

Data for a relaxed DyEr6Tl5 crystal.

Properties
- total magnetization (μB per formula unit) = 0.39
- mass density (kg/m³) = 11037
- formation enthalpy at 0 K (eV/f.u.) = -3.06
- SG = Immm (71)

a b c (Å): 4.977 8.755 9.079
angles (deg): 118.83 105.91 90.00
Fractional positions:
Tl 0.647 0.147 0.294
Tl 0.320 0.320 0.639
Tl 0.000 0.500 0.000
Tl 0.680 0.680 0.361
Tl 0.353 0.853 0.706
Er 0.830 0.566 0.660
Er 0.830 0.094 0.660
Er 0.500 0.725 0.000
Er 0.500 0.275 0.000
Er 0.170 0.906 0.340
Er 0.170 0.434 0.340
Dy 0.000 0.000 0.000


## Ba2NaMoN4 (PBE)

Data for a relaxed Ba2NaMoN4 crystal.

Properties
- total magnetization (μB per formula unit) = 1.03
- mass density (kg/m³) = 4682
- SG = Pmmn (59)
- formation energy without anion corrections (meV/atom) = -537.5

a b c (Å): 6.170 6.427 8.042
angles (deg): 90.00 90.00 90.00
Fractional positions:
Ba 0.500 0.226 0.247
Ba 0.500 0.226 0.753
Ba 0.000 0.774 0.747
Ba 0.000 0.774 0.253
Na 0.000 0.242 0.500
Na 0.500 0.758 0.000
Mo 0.500 0.789 0.500
Mo 0.000 0.211 0.000
N 0.241 0.034 0.000
N 0.741 0.966 0.500
N 0.259 0.967 0.500
N 0.759 0.033 0.000
N 0.499 0.637 0.701
N 0.999 0.363 0.201
N 0.999 0.363 0.799
N 0.499 0.637 0.299


## TbNb2 (PBE)

Data for a relaxed TbNb2 crystal.

Properties
- total magnetization (μB per formula unit) = 0.00
- mass density (kg/m³) = 8607
- formation enthalpy at 0 K (eV/f.u.) = 0.57
- SG = Fd-3m (227)
- E above lowest polymorph (meV per atom) = 19

a b c (Å): 5.730 5.730 5.730
angles (deg): 60.00 60.00 60.00
Fractional positions:
Nb 0.125 0.625 0.625
Nb 0.625 0.125 0.625
Nb 0.625 0.625 0.625
Nb 0.625 0.625 0.125
Tb 0.000 0.000 0.000
Tb 0.250 0.250 0.250


## Tl4Te5 (PBE)

Data for a relaxed Tl4Te5 crystal.

Properties
- total magnetization (μB per formula unit) = 0.00
- mass density (kg/m³) = 8580
- SG = P6_3/mcm (193)
- E above lowest polymorph (meV per atom) = 73
- formation energy without anion corrections (meV/atom) = 11.9

a b c (Å): 9.914 9.914 6.618
angles (deg): 90.00 90.00 120.00
Fractional positions:
Tl 0.000 0.000 0.000
Tl 0.000 0.000 0.500
Tl 0.000 0.368 0.250
Tl 0.632 0.632 0.250
Tl 0.368 0.000 0.250
Tl 0.000 0.632 0.750
Tl 0.368 0.368 0.750
Tl 0.632 0.000 0.750
Te 0.000 0.717 0.250
Te 0.283 0.283 0.250
Te 0.717 0.000 0.250
Te 0.000 0.283 0.750
Te 0.717 0.717 0.750
Te 0.283 0.000 0.750
Te 0.667 0.333 0.000
Te 0.333 0.667 0.500
Te 0.333 0.667 0.000
Te 0.667 0.333 0.500


## PrDy2Co (PBE)

Data for a relaxed PrDy2Co crystal.

Properties
- total magnetization (μB per formula unit) = 0.00
- mass density (kg/m³) = 8177
- formation enthalpy at 0 K (eV/f.u.) = -0.49
- SG = Pnma (62)
- E above lowest polymorph (meV per atom) = 0

a b c (Å): 6.389 6.993 9.542
angles (deg): 90.00 90.00 90.00
Fractional positions:
Pr 0.639 0.544 0.250
Pr 0.861 0.044 0.250
Pr 0.361 0.456 0.750
Pr 0.139 0.956 0.750
Dy 0.176 0.671 0.070
Dy 0.324 0.171 0.430
Dy 0.824 0.329 0.570
Dy 0.676 0.829 0.930
Dy 0.824 0.329 0.930
Dy 0.676 0.829 0.570
Dy 0.176 0.671 0.430
Dy 0.324 0.171 0.070
Co 0.065 0.386 0.250
Co 0.435 0.886 0.250
Co 0.935 0.614 0.750
Co 0.565 0.114 0.750